A relaxed Cr2AsO2 crystal, computed with GGA+U.

Values from the calculation:
Total DFT energy (no corrections) (eV per atom): -6.33

Unit cell a=6.763 b=6.763 c=2.955 alpha=90.00 beta=90.00 gamma=90.00
Positions (direct):
Cr1 0.194 0.306 0.000
Cr2 0.306 0.806 0.000
Cr3 0.694 0.194 0.000
Cr4 0.806 0.694 0.000
As1 0.000 0.000 0.500
As2 0.500 0.500 0.500
O1 0.155 0.655 0.500
O2 0.345 0.155 0.500
O3 0.655 0.845 0.500
O4 0.845 0.345 0.500